[1]
Material: Tb5GaTe5
Method: DFT, PBE
State: relaxed

Formation energy from raw total energies   -1261 meV per atom
Space-group type   C2/m, No. 12
Fermi-level density of states   2.30 states/eV/cell

a = 7.556 Å, b = 7.556 Å, c = 8.648 Å
α = 106.99°, β = 106.99°, γ = 48.02°
Positions (direct):
Tb 0.000 0.000 0.000
Tb 0.341 0.341 0.678
Tb 0.342 0.342 0.162
Tb 0.658 0.658 0.838
Tb 0.659 0.659 0.322
Ga 0.500 0.500 0.000
Te 0.165 0.165 0.827
Te 0.173 0.173 0.335
Te 0.500 0.500 0.500
Te 0.827 0.827 0.665
Te 0.835 0.835 0.173

---

[2]
Material: Ho5Er3As12
Method: DFT, PBE
State: relaxed

Space-group type   Ia-3d, No. 230
Energy relative to the elements   -12.49 eV/f.u.
Fermi-level density of states   46.28 states/eV/cell

a = 14.334 Å, b = 14.334 Å, c = 14.334 Å
α = 109.47°, β = 109.47°, γ = 109.47°
Positions (direct):
Ho 0.000 0.000 0.000
Ho 0.000 0.000 0.500
Ho 0.000 0.500 0.000
Ho 0.000 0.500 0.500
Ho 0.125 0.750 0.875
Ho 0.125 0.875 0.250
Ho 0.250 0.125 0.875
Ho 0.250 0.625 0.375
Ho 0.375 0.250 0.625
Ho 0.375 0.625 0.750
Ho 0.500 0.000 0.000
Ho 0.500 0.000 0.500
Ho 0.500 0.500 0.000
Ho 0.500 0.500 0.500
Ho 0.625 0.375 0.250
Ho 0.625 0.750 0.375
Ho 0.750 0.375 0.625
Ho 0.750 0.875 0.125
Ho 0.875 0.125 0.750
Ho 0.875 0.250 0.125
Er 0.125 0.250 0.375
Er 0.125 0.375 0.750
Er 0.250 0.375 0.125
Er 0.250 0.875 0.625
Er 0.375 0.125 0.250
Er 0.375 0.750 0.125
Er 0.625 0.250 0.875
Er 0.625 0.875 0.750
Er 0.750 0.125 0.375
Er 0.750 0.625 0.875
Er 0.875 0.625 0.250
Er 0.875 0.750 0.625
As 0.074 0.249 0.153
As 0.074 0.325 0.921
As 0.079 0.653 0.404
As 0.079 0.926 0.675
As 0.096 0.749 0.675
As 0.096 0.847 0.421
As 0.153 0.074 0.249
As 0.153 0.579 0.904
As 0.175 0.249 0.596
As 0.175 0.426 0.579
As 0.249 0.153 0.074
As 0.249 0.596 0.175
As 0.251 0.325 0.904
As 0.251 0.426 0.347
As 0.325 0.904 0.251
As 0.325 0.921 0.074
As 0.347 0.251 0.426
As 0.347 0.596 0.921
As 0.404 0.079 0.653
As 0.404 0.825 0.751
As 0.421 0.096 0.847
As 0.421 0.825 0.574
As 0.426 0.347 0.251
As 0.426 0.579 0.175
As 0.574 0.421 0.825
As 0.574 0.653 0.749
As 0.579 0.175 0.426
As 0.579 0.904 0.153
As 0.596 0.175 0.249
As 0.596 0.921 0.347
As 0.653 0.404 0.079
As 0.653 0.749 0.574
As 0.675 0.079 0.926
As 0.675 0.096 0.749
As 0.749 0.574 0.653
As 0.749 0.675 0.096
As 0.751 0.404 0.825
As 0.751 0.847 0.926
As 0.825 0.574 0.421
As 0.825 0.751 0.404
As 0.847 0.421 0.096
As 0.847 0.926 0.751
As 0.904 0.153 0.579
As 0.904 0.251 0.325
As 0.921 0.074 0.325
As 0.921 0.347 0.596
As 0.926 0.675 0.079
As 0.926 0.751 0.847

---

[3]
Material: Te2Os2Pb
Method: DFT, PBE
State: relaxed

Formation energy from raw total energies   500 meV per atom
Space-group type   I4/mmm, No. 139
ΔE to the lowest computed polymorph   0 meV per atom
Fermi-level density of states   2.56 states/eV/cell

a = 7.159 Å, b = 7.159 Å, c = 7.159 Å
α = 145.04°, β = 145.04°, γ = 50.28°
Positions (direct):
Te 0.136 0.136 0.000
Te 0.864 0.864 0.000
Os 0.250 0.750 0.500
Os 0.750 0.250 0.500
Pb 0.500 0.500 0.000

---

> Which of these has the lowest Fermi-level density of states?

Tb5GaTe5